# 1
An optimized crystal structure of KPb, computed with PBE.

```
KPb
1.0
-3.168 -2.375 -2.745
4.743 0.007 -5.480
3.705 -8.637 3.196
K Pb
4 4
Cartesian
2.510 -3.300 -6.383
2.266 -3.385 -1.802
2.770 -7.705 1.355
3.014 -7.621 -3.227
5.121 -4.703 -3.955
0.159 -6.302 -1.074
5.793 -9.024 -0.994
-0.513 -1.982 -4.035
```

Output
Crystal system: orthorhombic
Energy relative to the lowest polymorph listed for this composition: 93 meV per atom
Calculated formation energy: -0.148 eV/atom

---

# 2
An optimized crystal structure of AlCdAu2, computed with PBE.

```
AlCdAu2
1.0
8.862 -0.065 -0.039
8.315 3.067 -0.039
8.315 1.453 2.701
Au Al Cd
2 1 1
Cartesian
0.149 0.026 0.015
6.424 1.123 0.661
18.957 3.313 1.952
12.708 2.221 1.308
```

Output
Crystal system: trigonal
Energy relative to the lowest polymorph listed for this composition: 172 meV per atom
Calculated formation energy: -0.095 eV/atom

---

# 3
An optimized crystal structure of K3NpU3Se8, computed with PBE.

```
K3NpU3Se8
1.0
-6.136 3.164 4.837
3.119 -7.659 1.621
5.320 7.228 2.022
K U Se Np
3 3 8 1
Cartesian
0.000 0.000 0.000
1.559 -3.830 0.810
-1.509 -2.248 3.229
1.151 1.366 4.240
-0.408 5.196 3.429
4.219 -0.216 1.821
0.722 3.825 5.761
-1.452 0.522 5.163
0.034 2.740 1.953
3.754 2.211 3.317
-3.010 4.309 4.352
2.269 -0.007 6.527
5.313 -1.577 4.127
1.580 -1.093 2.719
2.660 3.614 1.011
```

Output
Crystal system: monoclinic
Energy relative to the elements, uncorrected: -1.218 eV per atom

---

# 4
An optimized crystal structure of La2Tb2Er7, computed with PBE.

```
La2Tb2Er7
1.0
3.386 -0.488 -0.959
-0.929 10.825 2.073
0.389 3.323 10.542
Er La Tb
7 2 2
Cartesian
0.351 5.823 5.103
2.293 2.753 5.582
0.552 10.907 6.075
1.691 6.181 1.712
2.494 7.837 6.554
0.000 0.000 0.000
1.154 7.479 9.945
3.057 2.546 1.779
-0.211 11.115 9.878
1.755 4.938 7.965
1.090 8.722 3.692
```

Output
Crystal system: monoclinic
Energy relative to the lowest polymorph listed for this composition: 9 meV per atom
Calculated formation energy: 0.172 eV/atom

---

Repeat the fourth record exactly.
An optimized crystal structure of La2Tb2Er7, computed with PBE.

```
La2Tb2Er7
1.0
3.386 -0.488 -0.959
-0.929 10.825 2.073
0.389 3.323 10.542
Er La Tb
7 2 2
Cartesian
0.351 5.823 5.103
2.293 2.753 5.582
0.552 10.907 6.075
1.691 6.181 1.712
2.494 7.837 6.554
0.000 0.000 0.000
1.154 7.479 9.945
3.057 2.546 1.779
-0.211 11.115 9.878
1.755 4.938 7.965
1.090 8.722 3.692
```

Output
Crystal system: monoclinic
Energy relative to the lowest polymorph listed for this composition: 9 meV per atom
Calculated formation energy: 0.172 eV/atom